# AcGaWO6 | Alexandria | PBE+U | relaxed
data_AcGaWO6
_chemical_formula_sum 'Ac1 Ga1 W1 O6'
_space_group_name_H-M_alt 'P 3 1 2'
_space_group_IT_number 149
_cell_length_a 5.2645
_cell_length_b 5.2645
_cell_length_c 5.3718
_cell_angle_alpha 90.00
_cell_angle_beta 90.00
_cell_angle_gamma 120.00
loop_
_space_group_symop_operation_xyz
'x,y,z'
'-y,x-y,z'
'-x+y,-x,z'
'-y,-x,-z'
'-x+y,y,-z'
'x,x-y,-z'
loop_
_atom_site_label
_atom_site_fract_x
_atom_site_fract_y
_atom_site_fract_z
Ac1 0.0000 0.0000 0.0000
Ga1 0.6667 0.3333 0.5000
W1 0.3333 0.6667 0.5000
O1 0.0079 0.3837 0.7063
# **Size of the total moment**: 0.000 μB/f.u.
# **DOS at the Fermi energy**: 0.00 states/eV/atom
# **Calculated total energy**: -66.114 eV/cell